#one
# Pr2SbSe, optimized geometry, DFT PBE
# Crystal system: monoclinic
# SG: No. 12
# N(E_F): 0.46 states/eV per atom
data_Pr2SbSe
_cell_length_a 4.427
_cell_length_b 4.430
_cell_length_c 7.623
_cell_angle_alpha 106.83
_cell_angle_beta 90.00
_cell_angle_gamma 119.97
_symmetry_space_group_name_H-M 'P 1'
_symmetry_Int_Tables_number 1
_symmetry_space_group_name_Hall 'P 1'
loop_
_atom_site_label
_atom_site_fract_x
_atom_site_fract_y
_atom_site_fract_z
_atom_site_occupancy
Pr1 0.246 0.492 0.240 1
Pr2 0.754 0.508 0.760 1
Sb1 0.000 0.000 0.500 1
Se1 0.500 0.000 0.000 1

#two
# Pr2SbSe, optimized geometry, DFT PBE
# Crystal system: trigonal
# SG: No. 160
# N(E_F): 0.86 states/eV per atom
data_Pr2SbSe
_cell_length_a 4.320
_cell_length_b 4.320
_cell_length_c 8.092
_cell_angle_alpha 74.52
_cell_angle_beta 74.52
_cell_angle_gamma 60.00
_symmetry_space_group_name_H-M 'P 1'
_symmetry_Int_Tables_number 1
_symmetry_space_group_name_Hall 'P 1'
loop_
_atom_site_label
_atom_site_fract_x
_atom_site_fract_y
_atom_site_fract_z
_atom_site_occupancy
Pr1 0.083 0.083 0.752 1
Pr2 0.251 0.251 0.247 1
Sb1 0.668 0.668 0.997 1
Se1 0.499 0.499 0.504 1

How do the energies compare? Relative to the most stable structure, in meV per atom: #one 0; #two 102.

#one
# Pr3SmSb2, optimized geometry, DFT PBE
# Crystal system: orthorhombic
# SG: No. 72
# N(E_F): 1.16 states/eV per atom
data_Pr3SmSb2
_cell_length_a 7.312
_cell_length_b 7.955
_cell_length_c 9.146
_cell_angle_alpha 115.78
_cell_angle_beta 113.56
_cell_angle_gamma 90.00
_symmetry_space_group_name_H-M 'P 1'
_symmetry_Int_Tables_number 1
_symmetry_space_group_name_Hall 'P 1'
loop_
_atom_site_label
_atom_site_fract_x
_atom_site_fract_y
_atom_site_fract_z
_atom_site_occupancy
Pr1 0.500 0.250 0.000 1
Pr2 0.500 0.750 0.000 1
Pr3 0.791 0.041 0.583 1
Pr4 0.209 0.459 0.417 1
Pr5 0.209 0.959 0.417 1
Pr6 0.791 0.541 0.583 1
Sm1 0.000 0.500 0.000 1
Sm2 0.000 0.000 0.000 1
Sb1 0.533 0.355 0.709 1
Sb2 0.823 0.145 0.291 1
Sb3 0.177 0.855 0.709 1
Sb4 0.467 0.645 0.291 1

#two
# Pr3SmSb2, optimized geometry, DFT PBE
# Crystal system: tetragonal
# SG: No. 115
# N(E_F): 0.97 states/eV per atom
data_Pr3SmSb2
_cell_length_a 4.618
_cell_length_b 4.618
_cell_length_c 8.911
_cell_angle_alpha 90.00
_cell_angle_beta 90.00
_cell_angle_gamma 90.00
_symmetry_space_group_name_H-M 'P 1'
_symmetry_Int_Tables_number 1
_symmetry_space_group_name_Hall 'P 1'
loop_
_atom_site_label
_atom_site_fract_x
_atom_site_fract_y
_atom_site_fract_z
_atom_site_occupancy
Pr1 0.500 0.000 0.356 1
Pr2 0.000 0.500 0.644 1
Pr3 0.000 0.000 0.000 1
Sm1 0.500 0.500 0.000 1
Sb1 0.500 0.000 0.723 1
Sb2 0.000 0.500 0.277 1

How do the energies compare? Relative to the most stable structure, in meV per atom: #one 198; #two 0.

#one
# PrSm2Sb3, optimized geometry, DFT PBE
# Crystal system: trigonal
# SG: No. 167
# N(E_F): 0.24 states/eV per atom
data_PrSm2Sb3
_cell_length_a 8.954
_cell_length_b 8.954
_cell_length_c 8.954
_cell_angle_alpha 51.09
_cell_angle_beta 51.09
_cell_angle_gamma 51.09
_symmetry_space_group_name_H-M 'P 1'
_symmetry_Int_Tables_number 1
_symmetry_space_group_name_Hall 'P 1'
loop_
_atom_site_label
_atom_site_fract_x
_atom_site_fract_y
_atom_site_fract_z
_atom_site_occupancy
Pr1 0.500 0.500 0.500 1
Pr2 0.000 0.000 0.000 1
Sm1 0.333 0.333 0.333 1
Sm2 0.167 0.167 0.167 1
Sm3 0.833 0.833 0.833 1
Sm4 0.667 0.667 0.667 1
Sb1 0.420 0.080 0.750 1
Sb2 0.080 0.750 0.420 1
Sb3 0.750 0.420 0.080 1
Sb4 0.580 0.920 0.250 1
Sb5 0.920 0.250 0.580 1
Sb6 0.250 0.580 0.920 1

#two
# PrSm2Sb3, optimized geometry, DFT PBE
# Crystal system: orthorhombic
# SG: No. 71
# N(E_F): 0.20 states/eV per atom
data_PrSm2Sb3
_cell_length_a 4.504
_cell_length_b 6.361
_cell_length_c 7.794
_cell_angle_alpha 114.08
_cell_angle_beta 106.79
_cell_angle_gamma 90.00
_symmetry_space_group_name_H-M 'P 1'
_symmetry_Int_Tables_number 1
_symmetry_space_group_name_Hall 'P 1'
loop_
_atom_site_label
_atom_site_fract_x
_atom_site_fract_y
_atom_site_fract_z
_atom_site_occupancy
Pr1 0.500 0.500 0.500 1
Sm1 0.834 0.834 0.168 1
Sm2 0.166 0.166 0.832 1
Sb1 0.830 0.330 0.161 1
Sb2 0.170 0.670 0.839 1
Sb3 0.500 0.000 0.500 1

How do the energies compare? Relative to the most stable structure, in meV per atom: #one 119; #two 0.

#one
# Pr3SmSb3, optimized geometry, DFT PBE
# Crystal system: trigonal
# SG: No. 148
# N(E_F): 0.63 states/eV per atom
data_Pr3SmSb3
_cell_length_a 9.325
_cell_length_b 9.325
_cell_length_c 8.333
_cell_angle_alpha 55.98
_cell_angle_beta 55.98
_cell_angle_gamma 60.00
_symmetry_space_group_name_H-M 'P 1'
_symmetry_Int_Tables_number 1
_symmetry_space_group_name_Hall 'P 1'
loop_
_atom_site_label
_atom_site_fract_x
_atom_site_fract_y
_atom_site_fract_z
_atom_site_occupancy
Pr1 0.351 0.819 0.737 1
Pr2 0.819 0.093 0.737 1
Pr3 0.093 0.351 0.737 1
Pr4 0.907 0.649 0.263 1
Pr5 0.181 0.907 0.263 1
Pr6 0.649 0.181 0.263 1
Sm1 0.333 0.333 0.001 1
Sm2 0.667 0.667 0.999 1
Sb1 0.303 0.535 0.235 1
Sb2 0.927 0.303 0.235 1
Sb3 0.535 0.927 0.235 1
Sb4 0.465 0.073 0.765 1
Sb5 0.073 0.697 0.765 1
Sb6 0.697 0.465 0.765 1

#two
# Pr3SmSb3, optimized geometry, DFT PBE
# Crystal system: cubic
# SG: No. 198
# N(E_F): 1.02 states/eV per atom
data_Pr3SmSb3
_cell_length_a 9.544
_cell_length_b 9.544
_cell_length_c 9.544
_cell_angle_alpha 90.00
_cell_angle_beta 90.00
_cell_angle_gamma 90.00
_symmetry_space_group_name_H-M 'P 1'
_symmetry_Int_Tables_number 1
_symmetry_space_group_name_Hall 'P 1'
loop_
_atom_site_label
_atom_site_fract_x
_atom_site_fract_y
_atom_site_fract_z
_atom_site_occupancy
Pr1 0.821 0.321 0.179 1
Pr2 0.931 0.931 0.931 1
Pr3 0.820 0.680 0.320 1
Pr4 0.179 0.821 0.321 1
Pr5 0.180 0.180 0.180 1
Pr6 0.320 0.820 0.680 1
Pr7 0.069 0.431 0.569 1
Pr8 0.321 0.179 0.821 1
Pr9 0.680 0.320 0.820 1
Pr10 0.679 0.679 0.679 1
Pr11 0.569 0.069 0.431 1
Pr12 0.431 0.569 0.069 1
Sm1 0.071 0.571 0.929 1
Sm2 0.929 0.071 0.571 1
Sm3 0.429 0.429 0.429 1
Sm4 0.571 0.929 0.071 1
Sb1 0.753 0.627 0.999 1
Sb2 0.873 0.001 0.253 1
Sb3 0.999 0.753 0.627 1
Sb4 0.127 0.501 0.247 1
Sb5 0.247 0.127 0.501 1
Sb6 0.253 0.873 0.001 1
Sb7 0.001 0.253 0.873 1
Sb8 0.373 0.499 0.747 1
Sb9 0.501 0.247 0.127 1
Sb10 0.627 0.999 0.753 1
Sb11 0.747 0.373 0.499 1
Sb12 0.499 0.747 0.373 1

How do the energies compare? Relative to the most stable structure, in meV per atom: #one 103; #two 0.

#one
# PrSm3Sb2, optimized geometry, DFT PBE
# Crystal system: tetragonal
# SG: No. 115
# N(E_F): 0.93 states/eV per atom
data_PrSm3Sb2
_cell_length_a 4.566
_cell_length_b 4.566
_cell_length_c 8.798
_cell_angle_alpha 90.00
_cell_angle_beta 90.00
_cell_angle_gamma 90.00
_symmetry_space_group_name_H-M 'P 1'
_symmetry_Int_Tables_number 1
_symmetry_space_group_name_Hall 'P 1'
loop_
_atom_site_label
_atom_site_fract_x
_atom_site_fract_y
_atom_site_fract_z
_atom_site_occupancy
Pr1 0.500 0.500 0.000 1
Sm1 0.500 0.000 0.356 1
Sm2 0.000 0.500 0.644 1
Sm3 0.000 0.000 0.000 1
Sb1 0.500 0.000 0.718 1
Sb2 0.000 0.500 0.282 1

#two
# PrSm3Sb2, optimized geometry, DFT PBE
# Crystal system: monoclinic
# SG: No. 12
# N(E_F): 1.23 states/eV per atom
data_PrSm3Sb2
_cell_length_a 4.450
_cell_length_b 10.586
_cell_length_c 9.943
_cell_angle_alpha 124.29
_cell_angle_beta 90.00
_cell_angle_gamma 102.13
_symmetry_space_group_name_H-M 'P 1'
_symmetry_Int_Tables_number 1
_symmetry_space_group_name_Hall 'P 1'
loop_
_atom_site_label
_atom_site_fract_x
_atom_site_fract_y
_atom_site_fract_z
_atom_site_occupancy
Pr1 0.888 0.777 0.898 1
Pr2 0.112 0.223 0.102 1
Sm1 0.312 0.624 0.514 1
Sm2 0.944 0.888 0.565 1
Sm3 0.647 0.294 0.820 1
Sm4 0.353 0.706 0.180 1
Sm5 0.056 0.112 0.435 1
Sm6 0.688 0.376 0.486 1
Sb1 0.490 0.981 0.826 1
Sb2 0.510 0.019 0.174 1
Sb3 0.755 0.509 0.226 1
Sb4 0.245 0.491 0.774 1

How do the energies compare? Relative to the most stable structure, in meV per atom: #one 0; #two 81.